Density functional theory data (PBE) for a relaxed structure of Ti2AgN.

## Properties
- E_form (uncorrected) (eV/atom) = -0.46
- density (g/cm3) = 5.71

Unit cell a=6.016 b=6.016 c=6.995 alpha=90.00 beta=90.00 gamma=90.00
Atoms (fractional coordinates):
Ti1 0.147 0.750 0.125
Ti2 0.250 0.147 0.875
Ti3 0.250 0.353 0.375
Ti4 0.353 0.750 0.625
Ti5 0.647 0.250 0.625
Ti6 0.750 0.647 0.375
Ti7 0.750 0.853 0.875
Ti8 0.853 0.250 0.125
Ag1 0.000 0.000 0.500
Ag2 0.000 0.500 0.750
Ag3 0.500 0.000 0.250
Ag4 0.500 0.500 0.000
N1 0.000 0.000 0.000
N2 0.000 0.500 0.250
N3 0.500 0.000 0.750
N4 0.500 0.500 0.500